Entry 1:
Computed, not measured: crystalline BaNiPt2O8 at its relaxed geometry at the PBE with a Hubbard U level of DFT.

Calculated total energy (eV per atom): -5.2913

```
data_BaNiPt2O8
_chemical_formula_sum 'Ba1 Ni1 Pt2 O8'
_symmetry_space_group_name_H-M 'P 1'
_symmetry_Int_Tables_number 1
_cell_length_a 5.4582
_cell_length_b 5.4582
_cell_length_c 6.4990
_cell_angle_alpha 90.00
_cell_angle_beta 90.00
_cell_angle_gamma 120.00
loop_
_symmetry_equiv_pos_as_xyz
'x,y,z'
loop_
_atom_site_label
_atom_site_fract_x
_atom_site_fract_y
_atom_site_fract_z
O1 0.3333 0.6667 0.6522
O2 0.0546 0.3636 0.1373
O3 0.9454 0.6364 0.8627
O4 0.6667 0.3333 0.3478
O5 0.6909 0.0546 0.8627
O6 0.3636 0.3091 0.8627
O7 0.6364 0.6909 0.1373
O8 0.3091 0.9454 0.1373
Pt1 0.3333 0.6667 0.9512
Pt2 0.6667 0.3333 0.0488
Ni1 0.0000 0.0000 0.0000
Ba1 0.0000 0.0000 0.5000
```



Entry 2:
Computed, not measured: crystalline Ba2NiPtO6 at its relaxed geometry at the PBE with a Hubbard U level of DFT.

Calculated total energy (eV per atom): -5.7241

```
data_Ba2NiPtO6
_chemical_formula_sum 'Ba2 Ni1 Pt1 O6'
_symmetry_space_group_name_H-M 'P 1'
_symmetry_Int_Tables_number 1
_cell_length_a 5.2006
_cell_length_b 5.7431
_cell_length_c 5.7431
_cell_angle_alpha 120.00
_cell_angle_beta 90.00
_cell_angle_gamma 90.00
loop_
_symmetry_equiv_pos_as_xyz
'x,y,z'
loop_
_atom_site_label
_atom_site_fract_x
_atom_site_fract_y
_atom_site_fract_z
O1 0.7288 0.1492 0.2985
O2 0.7288 0.1492 0.8508
O3 0.2712 0.2985 0.1492
O4 0.2712 0.8508 0.7015
O5 0.2712 0.8508 0.1492
O6 0.7288 0.7015 0.8508
Ni1 0.5000 0.0000 0.0000
Pt1 0.0000 0.0000 0.0000
Ba1 0.2880 0.3333 0.6667
Ba2 0.7120 0.6667 0.3333
```



Entry 3:
Computed, not measured: crystalline Ba4Pu3NiO12 at its relaxed geometry at the PBE with a Hubbard U level of DFT.

Density of states at the Fermi level (states/eV per atom): 0.810
Calculated total energy (eV per atom): -8.3536

```
data_Ba4Pu3NiO12
_chemical_formula_sum 'Ba4 Pu3 Ni1 O12'
_symmetry_space_group_name_H-M 'P 1'
_symmetry_Int_Tables_number 1
_cell_length_a 7.4727
_cell_length_b 7.4727
_cell_length_c 7.4727
_cell_angle_alpha 109.47
_cell_angle_beta 109.47
_cell_angle_gamma 109.47
loop_
_symmetry_equiv_pos_as_xyz
'x,y,z'
loop_
_atom_site_label
_atom_site_fract_x
_atom_site_fract_y
_atom_site_fract_z
Ba1 0.5000 0.5000 0.5000
Ba2 0.0000 0.0000 0.5000
Ba3 0.5000 0.0000 0.0000
Ba4 0.0000 0.5000 0.0000
Pu1 0.0000 0.5000 0.5000
Pu2 0.5000 0.5000 0.0000
Pu3 0.5000 0.0000 0.5000
O1 0.2545 0.2545 0.0000
O2 0.7500 0.5000 0.2500
O3 0.0000 0.7455 0.7455
O4 0.7455 0.0000 0.7455
O5 0.2500 0.7500 0.5000
O6 0.7500 0.2500 0.5000
O7 0.2500 0.5000 0.7500
O8 0.0000 0.2545 0.2545
O9 0.2545 0.0000 0.2545
O10 0.7455 0.7455 0.0000
O11 0.5000 0.7500 0.2500
O12 0.5000 0.2500 0.7500
Ni1 0.0000 0.0000 0.0000
```



Entry 4:
Computed, not measured: crystalline BaPuNiO6 at its relaxed geometry at the PBE with a Hubbard U level of DFT.

Density of states at the Fermi level (states/eV per atom): 0.175
Calculated total energy (eV per atom): -7.4463

```
data_BaPuNiO6
_chemical_formula_sum 'Ba2 Pu2 Ni2 O12'
_symmetry_space_group_name_H-M 'P 1'
_symmetry_Int_Tables_number 1
_cell_length_a 5.3797
_cell_length_b 5.3797
_cell_length_c 11.6845
_cell_angle_alpha 90.00
_cell_angle_beta 90.00
_cell_angle_gamma 120.00
loop_
_symmetry_equiv_pos_as_xyz
'x,y,z'
loop_
_atom_site_label
_atom_site_fract_x
_atom_site_fract_y
_atom_site_fract_z
O1 0.0136 0.3860 0.6527
O2 0.0136 0.6276 0.8473
O3 0.6140 0.9864 0.8473
O4 0.6276 0.6140 0.1527
O5 0.6140 0.6276 0.6527
O6 0.6276 0.0136 0.3473
O7 0.3724 0.3860 0.8473
O8 0.3860 0.0136 0.1527
O9 0.3860 0.3724 0.3473
O10 0.9864 0.6140 0.3473
O11 0.9864 0.3724 0.1527
O12 0.3724 0.9864 0.6527
Ba1 0.0000 0.0000 0.0000
Ba2 0.0000 0.0000 0.5000
Ni1 0.6667 0.3333 0.7500
Ni2 0.3333 0.6667 0.2500
Pu1 0.6667 0.3333 0.2500
Pu2 0.3333 0.6667 0.7500
```



Entry 5:
Computed, not measured: crystalline Ba4Re2NiO12 at its relaxed geometry at the PBE with a Hubbard U level of DFT.

Density of states at the Fermi level (states/eV per atom): 0.000
Calculated total energy (eV per atom): -7.1692

```
data_Ba4Re2NiO12
_chemical_formula_sum 'Ba4 Re2 Ni1 O12'
_symmetry_space_group_name_H-M 'P 1'
_symmetry_Int_Tables_number 1
_cell_length_a 5.8405
_cell_length_b 5.8406
_cell_length_c 10.1057
_cell_angle_alpha 90.00
_cell_angle_beta 73.20
_cell_angle_gamma 120.00
loop_
_symmetry_equiv_pos_as_xyz
'x,y,z'
loop_
_atom_site_label
_atom_site_fract_x
_atom_site_fract_y
_atom_site_fract_z
Re1 0.9977 0.9988 0.0035
Re2 0.0124 0.5062 0.4814
O1 0.9233 0.1967 0.8800
O2 0.7618 0.3809 0.3847
O3 0.2345 0.8536 0.3847
O4 0.0788 0.8111 0.1101
O5 0.7725 0.1606 0.6156
O6 0.6222 0.8111 0.1101
O7 0.2237 0.6119 0.6157
O8 0.3934 0.1967 0.8799
O9 0.0788 0.2677 0.1101
O10 0.9233 0.7266 0.8800
O11 0.2345 0.3809 0.3847
O12 0.7725 0.6119 0.6156
Ba1 0.2481 0.1241 0.6278
Ba2 0.7432 0.8716 0.3851
Ba3 0.5704 0.2852 0.1443
Ba4 0.4237 0.7119 0.8644
Ni1 0.8192 0.4096 0.7713
```



Entry 6:
Computed, not measured: crystalline Ba2ReNiO6 at its relaxed geometry at the PBE with a Hubbard U level of DFT.

Density of states at the Fermi level (states/eV per atom): 0.447
Calculated total energy (eV per atom): -6.9234

```
data_Ba2ReNiO6
_chemical_formula_sum 'Ba2 Re1 Ni1 O6'
_symmetry_space_group_name_H-M 'P 1'
_symmetry_Int_Tables_number 1
_cell_length_a 5.7711
_cell_length_b 5.7711
_cell_length_c 5.7711
_cell_angle_alpha 60.00
_cell_angle_beta 60.00
_cell_angle_gamma 60.00
loop_
_symmetry_equiv_pos_as_xyz
'x,y,z'
loop_
_atom_site_label
_atom_site_fract_x
_atom_site_fract_y
_atom_site_fract_z
O1 0.2609 0.7391 0.2609
O2 0.2609 0.7391 0.7391
O3 0.7391 0.2609 0.2609
O4 0.2609 0.2609 0.7391
O5 0.7391 0.2609 0.7391
O6 0.7391 0.7391 0.2609
Ba1 0.7500 0.7500 0.7500
Ba2 0.2500 0.2500 0.2500
Re1 0.5000 0.5000 0.5000
Ni1 0.0000 0.0000 0.0000
```



Entry 7:
Computed, not measured: crystalline BaNi2Rh2O7 at its relaxed geometry at the PBE with a Hubbard U level of DFT.

Density of states at the Fermi level (states/eV per atom): 0.592
Calculated total energy (eV per atom): -5.7941

```
data_BaNi2Rh2O7
_chemical_formula_sum 'Ba1 Ni2 Rh2 O7'
_symmetry_space_group_name_H-M 'P 1'
_symmetry_Int_Tables_number 1
_cell_length_a 4.0678
_cell_length_b 4.0802
_cell_length_c 9.0796
_cell_angle_alpha 102.99
_cell_angle_beta 102.94
_cell_angle_gamma 90.00
loop_
_symmetry_equiv_pos_as_xyz
'x,y,z'
loop_
_atom_site_label
_atom_site_fract_x
_atom_site_fract_y
_atom_site_fract_z
Rh1 0.3840 0.3941 0.7680
Rh2 0.6159 0.6261 0.2320
O1 0.7343 0.7425 0.4685
O2 0.3708 0.8732 0.7417
O3 0.2657 0.2740 0.5315
O4 0.6292 0.1316 0.2583
O5 0.5002 0.4469 0.0000
O6 0.8723 0.3717 0.7448
O7 0.1276 0.6271 0.2552
Ba1 0.0000 0.9977 0.0000
Ni1 0.2499 0.7573 0.4999
Ni2 0.7500 0.2574 0.5001
```



Entry 8:
Computed, not measured: crystalline Ba2NiRhO4 at its relaxed geometry at the PBE with a Hubbard U level of DFT.

Density of states at the Fermi level (states/eV per atom): 0.956
Calculated total energy (eV per atom): -5.5199

```
data_Ba2NiRhO4
_chemical_formula_sum 'Ba4 Ni2 Rh2 O8'
_symmetry_space_group_name_H-M 'P 1'
_symmetry_Int_Tables_number 1
_cell_length_a 5.7560
_cell_length_b 7.0195
_cell_length_c 9.3840
_cell_angle_alpha 82.78
_cell_angle_beta 72.14
_cell_angle_gamma 65.80
loop_
_symmetry_equiv_pos_as_xyz
'x,y,z'
loop_
_atom_site_label
_atom_site_fract_x
_atom_site_fract_y
_atom_site_fract_z
O1 0.0891 0.2948 0.4894
O2 0.3285 0.7948 0.0106
O3 0.4215 0.7052 0.4894
O4 0.8733 0.7052 0.5106
O5 0.6161 0.2948 0.5106
O6 0.8767 0.7948 0.9894
O7 0.6609 0.2052 0.0106
O8 0.1339 0.2052 0.9894
Ba1 0.9174 0.5000 0.1652
Ba2 0.8326 0.0000 0.3348
Ba3 0.1674 0.0000 0.6652
Ba4 0.5826 0.5000 0.8348
Rh1 0.2500 0.5000 0.5000
Rh2 0.5000 0.0000 0.0000
Ni1 0.7500 0.5000 0.5000
Ni2 0.0000 0.0000 0.0000
```



Entry 9:
Computed, not measured: crystalline Ba3NiRu2O9 at its relaxed geometry at the PBE with a Hubbard U level of DFT.

Density of states at the Fermi level (states/eV per atom): 0.052
Calculated total energy (eV per atom): -6.5465
Offset from the most stable computed form (eV per formula unit): 0.00

```
data_Ba3NiRu2O9
_chemical_formula_sum 'Ba6 Ni2 Ru4 O18'
_symmetry_space_group_name_H-M 'P 1'
_symmetry_Int_Tables_number 1
_cell_length_a 5.8325
_cell_length_b 5.8325
_cell_length_c 14.3497
_cell_angle_alpha 90.00
_cell_angle_beta 90.00
_cell_angle_gamma 120.00
loop_
_symmetry_equiv_pos_as_xyz
'x,y,z'
loop_
_atom_site_label
_atom_site_fract_x
_atom_site_fract_y
_atom_site_fract_z
O1 0.9690 0.4845 0.2500
O2 0.1704 0.3407 0.9170
O3 0.3407 0.1704 0.4170
O4 0.1704 0.3407 0.5830
O5 0.8296 0.1704 0.4170
O6 0.8296 0.6593 0.4170
O7 0.5155 0.4845 0.2500
O8 0.8296 0.1704 0.0830
O9 0.3407 0.1704 0.0830
O10 0.4845 0.9690 0.7500
O11 0.6593 0.8296 0.9170
O12 0.0310 0.5155 0.7500
O13 0.1704 0.8296 0.5830
O14 0.4845 0.5155 0.7500
O15 0.8296 0.6593 0.0830
O16 0.5155 0.0310 0.2500
O17 0.6593 0.8296 0.5830
O18 0.1704 0.8296 0.9170
Ba1 0.0000 0.0000 0.2500
Ba2 0.0000 0.0000 0.7500
Ba3 0.6667 0.3333 0.9108
Ba4 0.6667 0.3333 0.5892
Ba5 0.3333 0.6667 0.4108
Ba6 0.3333 0.6667 0.0892
Ru1 0.3333 0.6667 0.6536
Ru2 0.6667 0.3333 0.1536
Ru3 0.6667 0.3333 0.3464
Ru4 0.3333 0.6667 0.8464
Ni1 0.0000 0.0000 0.5000
Ni2 0.0000 0.0000 0.0000
```



Entry 10:
Computed, not measured: crystalline Ba3NiRu2O9 at its relaxed geometry at the PBE with a Hubbard U level of DFT.

Density of states at the Fermi level (states/eV per atom): 0.473
Calculated total energy (eV per atom): -6.5190
Offset from the most stable computed form (eV per formula unit): 0.41

```
data_Ba3NiRu2O9
_chemical_formula_sum 'Ba3 Ni1 Ru2 O9'
_symmetry_space_group_name_H-M 'P 1'
_symmetry_Int_Tables_number 1
_cell_length_a 5.7606
_cell_length_b 5.7606
_cell_length_c 7.0642
_cell_angle_alpha 90.00
_cell_angle_beta 90.00
_cell_angle_gamma 120.00
loop_
_symmetry_equiv_pos_as_xyz
'x,y,z'
loop_
_atom_site_label
_atom_site_fract_x
_atom_site_fract_y
_atom_site_fract_z
O1 0.5000 0.5000 0.0000
O2 0.3437 0.1719 0.6739
O3 0.6563 0.8281 0.3261
O4 0.0000 0.5000 0.0000
O5 0.8281 0.6563 0.6739
O6 0.5000 0.0000 0.0000
O7 0.1719 0.3437 0.3261
O8 0.1719 0.8281 0.3261
O9 0.8281 0.1719 0.6739
Ba1 0.0000 0.0000 0.0000
Ba2 0.6667 0.3333 0.3344
Ba3 0.3333 0.6667 0.6656
Ru1 0.6667 0.3333 0.8270
Ru2 0.3333 0.6667 0.1730
Ni1 0.0000 0.0000 0.5000
```



Entry 11:
Computed, not measured: crystalline BaNiRu2O8 at its relaxed geometry at the PBE with a Hubbard U level of DFT.

Density of states at the Fermi level (states/eV per atom): 0.012
Calculated total energy (eV per atom): -6.4003

```
data_BaNiRu2O8
_chemical_formula_sum 'Ba1 Ni1 Ru2 O8'
_symmetry_space_group_name_H-M 'P 1'
_symmetry_Int_Tables_number 1
_cell_length_a 5.2987
_cell_length_b 5.2987
_cell_length_c 7.8124
_cell_angle_alpha 87.28
_cell_angle_beta 87.28
_cell_angle_gamma 66.22
loop_
_symmetry_equiv_pos_as_xyz
'x,y,z'
loop_
_atom_site_label
_atom_site_fract_x
_atom_site_fract_y
_atom_site_fract_z
O1 0.6947 0.6947 0.4165
O2 0.2278 0.7459 0.8040
O3 0.3053 0.3053 0.5835
O4 0.7722 0.2541 0.1960
O5 0.7459 0.2278 0.8040
O6 0.2541 0.7722 0.1960
O7 0.7726 0.7726 0.0387
O8 0.2274 0.2274 0.9613
Ba1 0.0000 0.0000 0.5000
Ru1 0.3717 0.3717 0.7965
Ru2 0.6283 0.6283 0.2035
Ni1 0.0000 0.0000 0.0000
```



Entry 12:
Computed, not measured: crystalline BaNiRu2O at its relaxed geometry at the PBE with a Hubbard U level of DFT.

Density of states at the Fermi level (states/eV per atom): 1.124
Calculated total energy (eV per atom): -4.9139

```
data_BaNiRu2O
_chemical_formula_sum 'Ba1 Ni1 Ru2 O1'
_symmetry_space_group_name_H-M 'P 1'
_symmetry_Int_Tables_number 1
_cell_length_a 4.1431
_cell_length_b 4.9390
_cell_length_c 4.1431
_cell_angle_alpha 90.00
_cell_angle_beta 90.00
_cell_angle_gamma 90.00
loop_
_symmetry_equiv_pos_as_xyz
'x,y,z'
loop_
_atom_site_label
_atom_site_fract_x
_atom_site_fract_y
_atom_site_fract_z
Ru1 0.0000 0.0000 0.5000
Ru2 0.5000 0.0000 0.0000
O1 0.0000 0.0000 0.0000
Ni1 0.0000 0.5000 0.0000
Ba1 0.5000 0.5000 0.5000
```